The following is a DFT calculation (GGA-PBE) of a geometry-optimized ZrMoRhAu2 structure.

Cell: 4.9968 4.8139 4.9968 Å, 90.00 90.00 90.00°
Closest atoms and distances in Å follow each position.
Sites, in units of the cell vectors:
1 Zr 0.0000 0.5000 0.0000  2 Mo 2.41
2 Mo 0.0000 0.0000 0.0000  2 Zr 2.41, 4 Au 2.50
3 Au 0.5000 0.0000 0.0000  2 Mo 2.50
4 Au 0.0000 0.0000 0.5000  2 Mo 2.50
5 Rh 0.5000 0.5000 0.5000  8 Au 3.47, 4 Zr 3.53

Summary:
Space-group type: No. 123



The following is a DFT calculation (GGA-PBE) of a geometry-optimized TbPrCu2S4 structure.

Cell: 6.5401 6.0433 6.0433 Å, 67.64 57.24 57.24°
Closest atoms and distances in Å follow each position.
Sites, in units of the cell vectors:
1 S 0.9504 0.5191 0.0783  1 Cu 2.22
2 S 0.4521 0.0783 0.5191  1 Cu 2.22
3 S 0.0496 0.9217 0.4809  1 Cu 2.22
4 S 0.5479 0.4809 0.9217  1 Cu 2.22
5 Tb 0.5000 0.5000 0.5000  4 S 2.68
6 Cu 0.1707 0.3293 0.3293  2 S 2.22
7 Cu 0.8293 0.6707 0.6707  2 S 2.22
8 Pr 0.0000 0.0000 0.0000  8 S 2.93-3.17

Summary:
Raw formation energy in eV/atom: -1.215
Space-group type: No. 23



The following is a DFT calculation (GGA-PBE) of a geometry-optimized CaAu2Se structure.

Cell: 4.0154 4.0154 11.5912 Å, 80.03 80.03 90.00°
Closest atoms and distances in Å follow each position.
Sites, in units of the cell vectors:
1 Au 0.1243 0.6250 0.2500  4 Au 2.84, 2 Se 3.15, 2 Ca 3.15
2 Au 0.6257 0.1250 0.2500  4 Au 2.84, 2 Se 3.15, 2 Ca 3.15
3 Au 0.8750 0.8757 0.7500  4 Au 2.84, 2 Se 3.15, 2 Ca 3.15
4 Au 0.3750 0.3743 0.7500  4 Au 2.84, 2 Se 3.15, 2 Ca 3.15
5 Ca 0.5000 0.5000 0.0000  4 Se 2.84, 4 Au 3.15
6 Ca 0.2500 0.7500 0.5000  4 Se 2.84, 4 Au 3.15
7 Se 0.0000 0.0000 0.0000  4 Ca 2.84, 4 Au 3.15
8 Se 0.7500 0.2500 0.5000  4 Ca 2.84, 4 Au 3.15

Summary:
Raw formation energy in eV/atom: -0.700
Space-group type: No. 122



The following is a DFT calculation (GGA-PBE) of a geometry-optimized BiBrF3 structure.

Cell: 4.5997 4.5997 4.5997 Å, 90.00 90.00 90.00°
Closest atoms and distances in Å follow each position.
Sites, in units of the cell vectors:
1 Bi 0.5000 0.5000 0.5000  12 F 3.25
2 F 0.0000 0.0000 0.5000  2 Br 2.30
3 F 0.5000 0.0000 0.0000  2 Br 2.30
4 F 0.0000 0.5000 0.0000  2 Br 2.30
5 Br 0.0000 0.0000 0.0000  6 F 2.30

Summary:
Raw formation energy in eV/atom: -0.338
Energy above the most stable polymorph in this dataset in meV per atom: 1298.4
Space-group type: No. 221



The following is a DFT calculation (GGA-PBE) of a geometry-optimized Ba2NpPd2Se6 structure.

Cell: 6.8321 7.8504 7.9474 Å, 119.91 90.00 115.79°
Closest atoms and distances in Å follow each position.
Sites, in units of the cell vectors:
1 Se 0.3006 0.1298 0.8064  1 Pd 2.44
2 Se 0.2770 0.5539 0.3670  1 Pd 2.45, 1 Np 2.71
3 Se 0.6994 0.8702 0.1936  1 Pd 2.44
4 Se 0.1708 0.8702 0.1936  1 Pd 2.44
5 Se 0.7230 0.4461 0.6330  1 Pd 2.45, 1 Np 2.71
6 Se 0.8292 0.1298 0.8064  1 Pd 2.44
7 Np 0.5000 0.0000 0.5000  6 Se 2.71-2.75
8 Pd 0.9282 0.8564 0.7817  3 Se 2.44-2.45
9 Pd 0.0718 0.1436 0.2183  3 Se 2.44-2.45
10 Ba 0.7337 0.4674 0.2295  7 Se 3.29-3.54, 1 Pd 3.67
11 Ba 0.2663 0.5326 0.7705  7 Se 3.29-3.54, 1 Pd 3.67

Summary:
Raw formation energy in eV/atom: -1.003
Space-group type: No. 12



The following is a DFT calculation (GGA-PBE) of a geometry-optimized Tb5PrZn6 structure.

Cell: 5.0850 7.2227 8.0582 Å, 90.00 71.61 90.00°
Closest atoms and distances in Å follow each position.
Sites, in units of the cell vectors:
1 Zn 0.5000 0.7423 0.0000  6 Tb 3.07-3.17, 2 Pr 3.15
2 Zn 0.8298 0.7440 0.3404  7 Tb 3.07-3.14, 1 Pr 3.19
3 Zn 0.5000 0.2577 0.0000  6 Tb 3.07-3.17, 2 Pr 3.15
4 Zn 0.1702 0.7440 0.6596  7 Tb 3.07-3.14, 1 Pr 3.19
5 Zn 0.8298 0.2560 0.3404  7 Tb 3.07-3.14, 1 Pr 3.19
6 Zn 0.1702 0.2560 0.6596  7 Tb 3.07-3.14, 1 Pr 3.19
7 Tb 0.3347 0.5000 0.3305  8 Zn 3.07-3.09
8 Tb 0.6653 0.5000 0.6695  8 Zn 3.07-3.09
9 Tb 0.3320 0.0000 0.3359  8 Zn 3.09-3.17
10 Tb 0.6680 0.0000 0.6641  8 Zn 3.09-3.17
11 Tb 0.0000 0.5000 0.0000  8 Zn 3.09-3.14
12 Pr 0.0000 0.0000 0.0000  8 Zn 3.15-3.19

Summary:
Space-group type: No. 65



Number 1: raw total energy -5.41 eV/atom. Number 2: raw total energy -5.48 eV/atom. Number 3: raw total energy -3.71 eV/atom. Number 4: raw total energy -2.57 eV/atom. Number 5: raw total energy -5.37 eV/atom. Number 6: raw total energy -3.29 eV/atom.